(1)
Below is ScAlCl after structural relaxation, with properties calculated at the PBE level.

Cell: 4.4980 4.4980 4.4980 Å, 60.00 60.00 60.00°
Closest atoms and distances in Å follow each position.
Positions (direct):
Sc  0.0000  0.0000  0.0000  4 Cl 2.75
Al  0.5000  0.5000  0.5000  4 Cl 2.75
Cl  0.2500  0.2500  0.2500  4 Al 2.75, 4 Sc 2.75

Energy, eV/atom: -4.0022
Raw formation energy, eV/atom: -0.03
Polymorph energy (0 for the lowest one), meV/atom: 750.5

---

(2)
Below is ScAlCl after structural relaxation, with properties calculated at the PBE level.

Cell: 3.3181 3.3181 7.3623 Å, 90.00 90.00 120.00°
Closest atoms and distances in Å follow each position.
Positions (direct):
Sc  0.0000  0.0000  0.0000  3 Cl 2.56
Al  0.6667  0.3333  0.2920  3 Sc 2.88
Cl  0.3333  0.6667  0.7689  3 Sc 2.56

Energy, eV/atom: -4.7527
Raw formation energy, eV/atom: -0.78
Polymorph energy (0 for the lowest one), meV/atom: 0.0

---

(3)
Below is Sc3AlCl after structural relaxation, with properties calculated at the PBE level.

Cell: 4.7440 4.7440 4.7440 Å, 90.00 90.00 90.00°
Closest atoms and distances in Å follow each position.
Positions (direct):
Sc  0.0000  0.0000  0.5000  2 Cl 2.37
Sc  0.0000  0.5000  0.0000  2 Cl 2.37
Sc  0.5000  0.0000  0.0000  2 Cl 2.37
Al  0.5000  0.5000  0.5000  12 Sc 3.35
Cl  0.0000  0.0000  0.0000  6 Sc 2.37

Energy, eV/atom: -5.3344
Raw formation energy, eV/atom: -0.42
Polymorph energy (0 for the lowest one), meV/atom: 0.0

---

(4)
Below is ScAlCl4 after structural relaxation, with properties calculated at the PBE level.

Cell: 5.8687 5.8687 5.8687 Å, 60.00 60.00 60.00°
Closest atoms and distances in Å follow each position.
Positions (direct):
Sc  0.0000  0.0000  0.0000  12 Cl 3.44, 4 Al 3.59
Al  0.7500  0.7500  0.7500  12 Cl 3.44, 4 Sc 3.59
Cl  0.3745  0.3745  0.3745  6 Cl 2.92-2.95
Cl  0.3745  0.3745  0.8766  6 Cl 2.92-2.95
Cl  0.3745  0.8766  0.3745  6 Cl 2.92-2.95
Cl  0.8766  0.3745  0.3745  6 Cl 2.92-2.95

Energy, eV/atom: -2.7848
Raw formation energy, eV/atom: 0.13

---

(5)
Below is ScAl3Cl after structural relaxation, with properties calculated at the PBE level.

Cell: 5.5450 5.5450 5.5450 Å, 90.00 90.00 90.00°
Closest atoms and distances in Å follow each position.
Positions (direct):
Sc  0.0000  0.0000  0.0000  6 Al 2.77
Al  0.0000  0.0000  0.5000  2 Sc 2.77
Al  0.0000  0.5000  0.0000  2 Sc 2.77
Al  0.5000  0.0000  0.0000  2 Sc 2.77
Cl  0.5000  0.5000  0.5000  12 Al 3.92

Energy, eV/atom: -3.0786
Raw formation energy, eV/atom: 0.80
Polymorph energy (0 for the lowest one), meV/atom: 424.2

---

(6)
Below is ScAlCl after structural relaxation, with properties calculated at the PBE level.

Cell: 4.8030 4.8030 4.8030 Å, 60.00 60.00 60.00°
Closest atoms and distances in Å follow each position.
Positions (direct):
Sc  0.0000  0.0000  0.0000  4 Cl 2.94, 4 Al 2.94
Al  0.7500  0.7500  0.7500  4 Sc 2.94
Cl  0.2500  0.2500  0.2500  4 Sc 2.94

Energy, eV/atom: -3.9106
Raw formation energy, eV/atom: 0.06
Polymorph energy (0 for the lowest one), meV/atom: 842.1

---

(7)
Below is ScAlCl after structural relaxation, with properties calculated at the PBE level.

Cell: 4.5156 4.5156 3.5040 Å, 90.00 90.00 120.00°
Closest atoms and distances in Å follow each position.
Positions (direct):
Sc  0.0000  0.0000  0.0000  3 Cl 2.61
Al  0.3333  0.6667  0.5000  6 Sc 3.14, 6 Cl 3.14, 2 Al 3.50
Cl  0.6667  0.3333  0.0000  3 Sc 2.61

Energy, eV/atom: -4.4120
Raw formation energy, eV/atom: -0.44
Polymorph energy (0 for the lowest one), meV/atom: 340.7

---

(8)
Below is ScAl3Cl after structural relaxation, with properties calculated at the PBE level.

Cell: 4.8073 4.8073 4.8073 Å, 90.00 90.00 90.00°
Closest atoms and distances in Å follow each position.
Positions (direct):
Sc  0.0000  0.0000  0.0000  12 Al 3.40
Al  0.0000  0.5000  0.5000  2 Cl 2.40
Al  0.5000  0.0000  0.5000  2 Cl 2.40
Al  0.5000  0.5000  0.0000  2 Cl 2.40
Cl  0.5000  0.5000  0.5000  6 Al 2.40

Energy, eV/atom: -3.5028
Raw formation energy, eV/atom: 0.38
Polymorph energy (0 for the lowest one), meV/atom: 0.0

---

(9)
Below is ScAl4Cl after structural relaxation, with properties calculated at the PBE level.

Cell: 5.4597 5.4597 5.4597 Å, 60.00 60.00 60.00°
Closest atoms and distances in Å follow each position.
Positions (direct):
Sc  0.0000  0.0000  0.0000  12 Al 3.20, 4 Cl 3.34
Al  0.1220  0.6260  0.6260  6 Al 2.71-2.75
Al  0.6260  0.1220  0.6260  6 Al 2.71-2.75
Al  0.6260  0.6260  0.1220  6 Al 2.71-2.75
Al  0.6260  0.6260  0.6260  6 Al 2.71-2.75
Cl  0.2500  0.2500  0.2500  12 Al 3.20, 4 Sc 3.34

Energy, eV/atom: -4.0116
Raw formation energy, eV/atom: -0.15

---

(10)
Below is ScAlCl after structural relaxation, with properties calculated at the PBE level.

Cell: 7.8680 7.8680 7.8680 Å, 156.73 156.73 33.14°
Closest atoms and distances in Å follow each position.
Positions (direct):
Sc  0.0000  0.0000  0.0000  4 Cl 2.73, 4 Al 2.93
Al  0.3756  0.3756  0.0000  4 Sc 2.93, 4 Al 3.17
Cl  0.6031  0.6031  0.0000  4 Sc 2.73

Energy, eV/atom: -4.6658
Raw formation energy, eV/atom: -0.69
Polymorph energy (0 for the lowest one), meV/atom: 87.0

---

(11)
Below is Sr2ScAlCl after structural relaxation, with properties calculated at the PBE level.

Cell: 6.4813 6.4813 5.0047 Å, 90.00 90.00 90.00°
Closest atoms and distances in Å follow each position.
Positions (direct):
Sr  0.0000  0.5000  0.0000  2 Al 3.24
Sr  0.5000  0.0000  0.0000  2 Al 3.24
Sc  0.0000  0.0000  0.5000  8 Sr 4.09, 4 Cl 4.58
Al  0.5000  0.5000  0.0000  2 Cl 2.50
Cl  0.5000  0.5000  0.5000  2 Al 2.50

Energy, eV/atom: -2.7777
Raw formation energy, eV/atom: 0.28

---

(12)
Below is AlSeCl after structural relaxation, with properties calculated at the PBE level.

Cell: 3.7355 7.2139 7.2725 Å, 100.81 93.38 93.23°
Closest atoms and distances in Å follow each position.
Positions (direct):
Al  0.0000  0.0000  0.0000  2 Cl 2.10-2.29
Al  0.3821  0.8085  0.3060  3 Se 2.34-2.50, 1 Cl 2.42
Se  0.4634  0.7785  0.9632  3 Al 2.41-2.50
Se  0.8843  0.6942  0.4451  2 Al 2.34-2.35
Cl  0.1978  0.1242  0.3039  2 Al 2.29-2.42
Cl  0.9473  0.2223  0.8534  1 Al 2.10

Energy, eV/atom: -4.1022
Raw formation energy, eV/atom: -1.08

---

no.,density of states at the Fermi level (states/eV/cell)
1,2.8
2,2.7
3,7.2
4,9.3
5,4.3
6,3.5
7,1.5
8,2.6
9,2.6
10,3.1
11,6.6
12,0.0